A plane-wave DFT calculation with GGA-PBEsol was carried out for a relaxed structure of Cs2NaGaF6.

a b c (Å): 6.1965 6.1965 30.1952
angles (deg): 90.00 90.00 120.00
Closest atoms and distances in Å follow each position.
Space group R-3m (No. 166, hexagonal axes)
Inequivalent atoms, fractional coordinates:
Cs 0.0000 0.0000 0.1276 (multiplicity 6)  12 F 3.09-3.18
Cs 0.0000 0.0000 0.2818 (multiplicity 6)  12 F 3.10-3.32
Na 0.0000 0.0000 0.4032 (multiplicity 6)  6 F 2.24-2.35
Ga 0.0000 0.0000 0.0000 (multiplicity 3)  6 F 1.92
Ga 0.0000 0.0000 0.5000 (multiplicity 3)  6 F 1.92
F 0.0399 0.5199 0.7029 (multiplicity 18)  1 Ga 1.92
F 0.0471 0.5235 0.1287 (multiplicity 18)  1 Ga 1.92

Summary:
The value obtained for the raw formation energy is -2.839 eV per atom. For the density of states at the Fermi level, the calculation gives 0.0 states/eV per cell.